Computed, not measured: a relaxed structure of Pr2ErTm4Mg at the GGA-PBE level of DFT.

Its density of states at the Fermi level is 12.67 states/eV/f.u. The formation enthalpy at 0 K comes out at 0.040 eV per atom. The final energy is -0.3058 Ry/atom.

It has space group P2/m (No. 10), with a = 4.9646 Å, b = 4.9452 Å, c = 10.0897 Å, α = 90.00°, β = 90.04° and γ = 90.00°. The distinct sites, in fractional coordinates, are Pr at (0.0000, 0.0000, 0.0000), Pr at (0.5000, 0.5000, 0.5000), Er at (0.0000, 0.0000, 0.5000), Tm at (0.0005, 0.5000, 0.2506), Tm at (0.5001, 0.0000, 0.2501) and Mg at (0.5000, 0.5000, 0.0000).